1.
A geometry-optimized Dy2Ho3Ni4 structure. Source: the Alexandria database, functional GGA-PBE.

Cell: 7.3095 7.2260 7.5237 Å, 90.00 106.85 90.00°
Fractional positions:
Dy  0.2010  0.1792  0.0961
Dy  0.2010  0.3208  0.5961
Dy  0.7990  0.6792  0.4039
Dy  0.7990  0.8208  0.9039
Ho  0.2362  0.6708  0.2513
Ho  0.2362  0.8292  0.7513
Ho  0.5000  0.0000  0.5000
Ho  0.5000  0.5000  0.0000
Ho  0.7638  0.1708  0.2487
Ho  0.7638  0.3292  0.7487
Ni  0.0895  0.5285  0.8823
Ni  0.0895  0.9715  0.3823
Ni  0.4992  0.1190  0.8835
Ni  0.4992  0.3810  0.3835
Ni  0.5008  0.6190  0.6165
Ni  0.5008  0.8810  0.1165
Ni  0.9105  0.0285  0.6177
Ni  0.9105  0.4715  0.1177

Summary:
As for the crystal system: monoclinic. Its formation energy from the elements is -0.391 eV/atom.

2.
A geometry-optimized Y2GaB structure. Source: the Alexandria database, functional GGA-PBE.

Cell: 6.1977 6.1977 6.1977 Å, 107.61 107.61 113.26°
Fractional positions:
Y  0.0732  0.6250  0.9482
Y  0.3750  0.3232  0.4482
Y  0.6768  0.1250  0.0518
Y  0.8750  0.9268  0.5518
Ga  0.2500  0.7500  0.5000
Ga  0.5000  0.5000  0.0000
B  0.0000  0.0000  0.0000
B  0.7500  0.2500  0.5000

Summary:
The energy relative to the lowest polymorph listed for this composition is 111 meV per atom. As for the crystal system: tetragonal. Its formation energy from the elements is 0.067 eV/atom.

3.
A geometry-optimized La8InRh3I4 structure. Source: the Alexandria database, functional GGA-PBE.

Cell: 8.7259 8.7259 9.6231 Å, 116.98 116.98 59.96°
Fractional positions:
La  0.2043  0.7433  0.6898
La  0.2318  0.2318  0.6941
La  0.2571  0.2571  0.3102
La  0.2567  0.7957  0.3102
La  0.7433  0.2043  0.6898
La  0.7429  0.7429  0.6898
La  0.7682  0.7682  0.3059
La  0.7957  0.2567  0.3102
In  0.5000  0.5000  0.5000
Rh  0.0000  0.0000  0.5000
Rh  0.0000  0.5000  0.5000
Rh  0.5000  0.0000  0.5000
I  0.0000  0.0000  0.0000
I  0.0000  0.5000  0.0000
I  0.5000  0.0000  0.0000
I  0.5000  0.5000  0.0000

Summary:
As for the crystal system: monoclinic. The raw total energy is -5.3165 eV per atom.

4.
A geometry-optimized Dy4ScAg3 structure. Source: the Alexandria database, functional GGA-PBE.

Cell: 3.6250 5.2126 10.5267 Å, 90.00 90.00 90.00°
Fractional positions:
Dy  0.0000  0.0000  0.0000
Dy  0.0000  0.0000  0.5000
Dy  0.0000  0.5000  0.2395
Dy  0.0000  0.5000  0.7605
Sc  0.5000  0.5000  0.5000
Ag  0.5000  0.0000  0.2589
Ag  0.5000  0.0000  0.7411
Ag  0.5000  0.5000  0.0000

Summary:
As for the crystal system: orthorhombic. Its formation energy from the elements is -0.186 eV/atom.

5.
A geometry-optimized NaCu2Pd2 structure. Source: the Alexandria database, functional GGA-PBE.

Cell: 7.5605 7.5605 2.7515 Å, 90.00 90.00 90.00°
Fractional positions:
Na  0.0000  0.0000  0.0000
Na  0.5000  0.5000  0.0000
Cu  0.1209  0.3791  0.0000
Cu  0.3791  0.8791  0.0000
Cu  0.6209  0.1209  0.0000
Cu  0.8791  0.6209  0.0000
Pd  0.1721  0.6721  0.5000
Pd  0.3279  0.1721  0.5000
Pd  0.6721  0.8279  0.5000
Pd  0.8279  0.3279  0.5000

Summary:
The energy relative to the lowest polymorph listed for this composition is 0 meV per atom. As for the crystal system: tetragonal. Its formation energy from the elements is -0.069 eV/atom.

6.
A geometry-optimized SiMo2Cl structure. Source: the Alexandria database, functional GGA-PBE.

Cell: 5.2959 5.2959 5.2959 Å, 150.20 116.03 72.15°
Fractional positions:
Si  0.0000  0.0000  0.0000
Mo  0.2550  0.7550  0.5000
Mo  0.7450  0.2450  0.5000
Cl  0.5000  0.5000  0.0000

Summary:
The energy relative to the lowest polymorph listed for this composition is 486 meV per atom. As for the crystal system: orthorhombic.